[1]
First-principles (PBE) data for Y3TmTe after structural relaxation, as listed in Alexandria via LeMat-Bulk.

Output
* formation energy (no corrections): -0.332 eV per atom
* M_tot: 0.0 μB/f.u.
* energy relative to the lowest polymorph listed for this composition: 2.67 kJ per mole of atoms

Cell: 7.737 7.737 7.434 Å, 105.03 119.60 106.04°
Atoms (fractional coordinates):
Y 0.830 0.046 0.254
Y 0.208 0.424 0.254
Y 0.747 0.441 0.188
Y 0.170 0.954 0.746
Y 0.792 0.576 0.746
Y 0.253 0.559 0.812
Te 0.629 0.744 0.373
Te 0.371 0.256 0.627
Tm 0.297 0.932 0.229
Tm 0.703 0.068 0.771

[2]
First-principles (PBE) data for YTmTe2 after structural relaxation, as listed in Alexandria via LeMat-Bulk.

Output
* formation energy (no corrections): -1.240 eV per atom
* M_tot: 0.0 μB/f.u.
* energy relative to the lowest polymorph listed for this composition: 3.46 kJ per mole of atoms

Cell: 4.327 4.327 7.527 Å, 73.29 73.29 60.00°
Atoms (fractional coordinates):
Y 0.500 0.500 0.500
Te 0.748 0.748 0.756
Te 0.252 0.252 0.244
Tm 0.000 0.000 0.000

[3]
First-principles (PBE) data for Y3TmTe6 after structural relaxation, as listed in Alexandria via LeMat-Bulk.

Output
* formation energy (no corrections): -1.354 eV per atom
* M_tot: 0.0 μB/f.u.
* energy relative to the lowest polymorph listed for this composition: 0.00 kJ per mole of atoms

Cell: 7.322 8.047 11.154 Å, 90.00 90.28 90.00°
Atoms (fractional coordinates):
Tm 0.500 0.500 0.500
Tm 0.000 0.000 0.000
Te 0.661 0.176 0.581
Te 0.165 0.052 0.752
Te 0.161 0.324 0.081
Te 0.836 0.674 0.581
Te 0.664 0.174 0.919
Te 0.835 0.948 0.248
Te 0.665 0.448 0.252
Te 0.164 0.326 0.419
Te 0.839 0.676 0.919
Te 0.335 0.552 0.748
Te 0.339 0.824 0.419
Te 0.336 0.826 0.081
Y 0.552 0.880 0.749
Y 0.052 0.620 0.249
Y 0.500 0.500 0.000
Y 0.000 0.000 0.500
Y 0.948 0.380 0.751
Y 0.448 0.120 0.251

[4]
First-principles (PBE) data for Y3TmTe3 after structural relaxation, as listed in Alexandria via LeMat-Bulk.

Output
* formation energy (no corrections): -1.004 eV per atom
* M_tot: 0.0 μB/f.u.

Cell: 8.929 8.929 7.857 Å, 55.37 55.37 60.00°
Atoms (fractional coordinates):
Y 0.156 0.666 0.255
Y 0.666 0.922 0.255
Y 0.334 0.078 0.745
Y 0.078 0.844 0.745
Y 0.922 0.156 0.255
Y 0.844 0.334 0.745
Te 0.678 0.100 0.756
Te 0.100 0.465 0.756
Te 0.465 0.678 0.756
Te 0.900 0.535 0.244
Te 0.535 0.322 0.244
Te 0.322 0.900 0.244
Tm 0.312 0.312 0.063
Tm 0.688 0.688 0.937

[5]
First-principles (PBE) data for Y3TmTe after structural relaxation, as listed in Alexandria via LeMat-Bulk.

Output
* formation energy (no corrections): -0.360 eV per atom
* M_tot: 0.0 μB/f.u.
* energy relative to the lowest polymorph listed for this composition: 0.00 kJ per mole of atoms

Cell: 3.737 9.958 9.000 Å, 105.41 101.98 90.00°
Atoms (fractional coordinates):
Te 0.139 0.070 0.277
Te 0.861 0.930 0.723
Y 0.322 0.156 0.643
Y 0.678 0.844 0.357
Y 0.002 0.204 0.004
Y 0.998 0.796 0.996
Y 0.899 0.459 0.799
Y 0.101 0.541 0.201
Tm 0.703 0.341 0.406
Tm 0.297 0.659 0.594

[6]
First-principles (PBE) data for Y2Tm5Te4 after structural relaxation, as listed in Alexandria via LeMat-Bulk.

Output
* formation energy (no corrections): -0.625 eV per atom
* M_tot: 1.0 μB/f.u.

Cell: 4.014 7.179 14.593 Å, 118.16 97.91 90.00°
Last column: magnetic moment on the atom in μB.
Atoms (fractional coordinates):
Tm 0.139 0.272 0.279  0.09
Tm 0.156 0.819 0.312  0.17
Tm 0.861 0.728 0.721  0.09
Tm 0.500 0.000 0.000  0.01
Tm 0.844 0.181 0.688  0.17
Te 0.049 0.834 0.098  0.00
Te 0.595 0.461 0.190  0.00
Te 0.951 0.166 0.902  0.00
Te 0.405 0.539 0.810  0.00
Y 0.265 0.327 0.531  0.09
Y 0.735 0.673 0.469  0.09